Entry 1:
{"formula": "SmSbTe", "functional": "PBE", "state": "relaxed", "lattice_angstrom": [[4.3231, 0.0000, 0.0000], [0.0000, 4.3231, 0.0000], [-2.1615, -2.1615, 9.5074]], "species": ["Sm", "Sm", "Sb", "Sb", "Te", "Te"], "frac_coords": [[0.3616, 0.3616, 0.7233], [0.6384, 0.6384, 0.2767], [0.0000, 0.5000, 0.0000], [0.5000, 0.0000, 0.0000], [0.1887, 0.1887, 0.3774], [0.8113, 0.8113, 0.6226]], "magnetic_moment_mub_per_cell": 0.0, "raw_formation_energy_ev_per_atom": -1.12, "space_group": "I4/mmm, No. 139"}


Entry 2:
{"formula": "Sm2SbTe2", "functional": "PBE", "state": "relaxed", "lattice_angstrom": [[4.8083, -0.0466, 0.0351], [1.2296, 4.6486, 0.0351], [1.3313, 1.0147, 7.4653]], "species": ["Sm", "Sm", "Sb", "Te", "Te"], "frac_coords": [[0.3111, 0.3111, 0.2155], [0.6889, 0.6889, 0.7845], [0.0000, 0.0000, 0.0000], [0.2518, 0.7482, 0.5000], [0.7482, 0.2518, 0.5000]], "magnetic_moment_mub_per_cell": 0.0, "raw_formation_energy_ev_per_atom": -0.87, "space_group": "C2/m, No. 12"}


Entry 3:
{"formula": "Sm4SbTe3", "functional": "PBE", "state": "relaxed", "lattice_angstrom": [[-1.1508, 2.3445, -3.5851], [-6.8658, -3.5406, -0.1117], [-0.4990, 6.3781, 4.3312]], "species": ["Sm", "Sm", "Sm", "Sm", "Sb", "Te", "Te", "Te"], "frac_coords": [[0.0000, 0.2416, 0.2416], [0.5000, 0.7550, 0.2450], [0.0000, 0.7584, 0.7584], [0.5000, 0.2450, 0.7550], [0.5000, 0.0000, 0.0000], [0.0000, 0.0000, 0.5000], [0.5000, 0.5000, 0.5000], [0.0000, 0.5000, 0.0000]], "magnetic_moment_mub_per_cell": 0.0, "raw_formation_energy_ev_per_atom": -1.36, "space_group": "Cmmm, No. 65"}